[1]
Material: ScCr3Ag
Method: DFT, GGA-PBEsol
State: optimized geometry

The electronic total energy is -30.74 eV per cell. Its density of states at the Fermi level is 6.46 states/eV/f.u.

Lattice parameters (Å, degrees): 4.251 4.251 4.251 90.00 90.00 90.00
Fractional positions:
Sc1 0.000 0.000 0.000
Cr1 0.000 0.500 0.000
Cr2 0.000 0.000 0.500
Cr3 0.500 0.000 0.000
Ag1 0.500 0.500 0.500

[2]
Material: Ta3GaBi
Method: DFT, GGA-PBEsol
State: optimized geometry

The electronic total energy is -39.27 eV per cell. Its density of states at the Fermi level is 8.57 states/eV/f.u.

Lattice parameters (Å, degrees): 4.751 4.751 4.751 90.00 90.00 90.00
Fractional positions:
Bi1 0.500 0.500 0.500
Ga1 0.000 0.000 0.000
Ta1 0.000 0.500 0.000
Ta2 0.000 0.000 0.500
Ta3 0.500 0.000 0.000

[3]
Material: La2SiAsIr
Method: DFT, GGA-PBEsol
State: optimized geometry

For the uncorrected formation energy, the calculation gives -0.66 eV/atom. Its density of states at the Fermi level is 2.21 states/eV/f.u.

Lattice parameters (Å, degrees): 4.466 5.524 5.524 90.00 90.00 90.00
Fractional positions:
As1 0.500 0.500 0.500
Ir1 0.000 0.000 0.000
Si1 0.500 0.000 0.000
La1 0.000 0.000 0.500
La2 0.000 0.500 0.000

[4]
Material: Na4Sc2Si4O13
Method: DFT, GGA-PBEsol
State: optimized geometry

For the uncorrected formation energy, the calculation gives -2.79 eV/atom. Its density of states at the Fermi level is 0.00 states/eV/f.u.

Lattice parameters (Å, degrees): 5.297 14.183 14.447 90.00 90.00 90.00
Fractional positions:
Na1 0.193 0.051 0.212
Na2 0.826 0.578 0.917
Na3 0.220 0.698 0.835
Na4 0.780 0.302 0.335
Na5 0.174 0.330 0.622
Na6 0.307 0.551 0.212
Na7 0.826 0.670 0.122
Na8 0.693 0.449 0.712
Na9 0.326 0.922 0.417
Na10 0.674 0.078 0.917
Na11 0.174 0.422 0.417
Na12 0.720 0.802 0.335
Na13 0.280 0.198 0.835
Na14 0.807 0.949 0.712
Na15 0.326 0.830 0.622
Na16 0.674 0.170 0.122
Sc1 0.310 0.670 0.421
Sc2 0.190 0.170 0.421
Sc3 0.652 0.921 0.126
Sc4 0.810 0.830 0.921
Sc5 0.848 0.421 0.126
Sc6 0.348 0.079 0.626
Sc7 0.152 0.579 0.626
Sc8 0.690 0.330 0.921
Si1 0.650 0.477 0.500
Si2 0.700 0.059 0.320
Si3 0.673 0.273 0.546
Si4 0.300 0.941 0.820
Si5 0.850 0.977 0.500
Si6 0.350 0.523 0.000
Si7 0.327 0.727 0.046
Si8 0.827 0.773 0.546
Si9 0.175 0.807 0.228
Si10 0.173 0.227 0.046
Si11 0.800 0.559 0.320
Si12 0.325 0.307 0.228
Si13 0.200 0.441 0.820
Si14 0.825 0.193 0.728
Si15 0.675 0.693 0.728
Si16 0.150 0.023 0.000
O1 0.114 0.854 0.842
O2 0.515 0.373 0.524
O3 0.435 0.228 0.989
O4 0.207 0.033 0.886
O5 0.318 0.276 0.337
O6 0.682 0.724 0.837
O7 0.793 0.967 0.386
O8 0.293 0.533 0.886
O9 0.888 0.826 0.193
O10 0.368 0.894 0.216
O11 0.246 0.468 0.711
O12 0.036 0.690 0.531
O13 0.565 0.772 0.489
O14 0.065 0.728 0.989
O15 0.406 0.074 0.347
O16 0.927 0.945 0.016
O17 0.073 0.055 0.516
O18 0.906 0.426 0.847
O19 0.272 0.717 0.160
O20 0.935 0.272 0.489
O21 0.612 0.326 0.193
O22 0.536 0.810 0.031
O23 0.427 0.555 0.516
O24 0.754 0.532 0.211
O25 0.407 0.016 0.058
O26 0.985 0.873 0.524
O27 0.112 0.174 0.693
O28 0.573 0.445 0.016
O29 0.093 0.516 0.058
O30 0.886 0.146 0.342
O31 0.632 0.106 0.716
O32 0.594 0.926 0.847
O33 0.728 0.283 0.660
O34 0.094 0.574 0.347
O35 0.907 0.484 0.558
O36 0.388 0.674 0.693
O37 0.254 0.968 0.711
O38 0.818 0.224 0.837
O39 0.228 0.217 0.160
O40 0.772 0.783 0.660
O41 0.614 0.646 0.342
O42 0.746 0.032 0.211
O43 0.182 0.776 0.337
O44 0.132 0.394 0.216
O45 0.015 0.127 0.024
O46 0.868 0.606 0.716
O47 0.464 0.190 0.531
O48 0.964 0.310 0.031
O49 0.593 0.984 0.558
O50 0.386 0.354 0.842
O51 0.485 0.627 0.024
O52 0.707 0.467 0.386

[5]
Material: TiRePb3
Method: DFT, GGA-PBEsol
State: optimized geometry

The electronic total energy is -27.89 eV per cell. Its density of states at the Fermi level is 10.48 states/eV/f.u.

Lattice parameters (Å, degrees): 5.261 5.261 5.261 90.00 90.00 90.00
Each line ends with the local moment (μB).
Fractional positions:
Pb1 0.000 0.500 0.000  0.00
Pb2 0.000 0.000 0.500  0.00
Pb3 0.500 0.000 0.000  0.00
Re1 0.000 0.000 0.000  0.41
Ti1 0.500 0.500 0.500  1.97

[6]
Material: BaIr2
Method: DFT, GGA-PBEsol
State: optimized geometry

The electronic total energy is -41.28 eV per cell. Its density of states at the Fermi level is 3.04 states/eV/f.u.

Lattice parameters (Å, degrees): 2.962 5.818 7.940 91.78 90.00 104.75
Fractional positions:
Ba1 0.946 0.891 0.007
Ba2 0.712 0.423 0.332
Ir1 0.338 0.675 0.664
Ir2 0.455 0.909 0.383
Ir3 0.034 0.068 0.641
Ir4 0.683 0.367 0.807